A plane-wave DFT calculation with SCAN was carried out for a PBEsol-optimized structure of Er2Zr8O19.

Summary:
Density of states at the Fermi level = 0.000 states/eV/cell
E = -19.7723 eV per atom
Space group = P-4m2 (115)
Energy relative to the elements, uncorrected = -108.73 eV/f.u.
Magnetic moment = 0.0 μB/f.u.
Calculated volume = 333.9 Å³/f.u.

abc: 3.602 3.602 25.743
angles: 90.00 90.00 90.00
Fractional coordinates of all 29 atoms:
1 O 0.000 0.000 0.405
2 Zr 0.000 0.500 0.253
3 O 0.500 0.500 0.602
4 Zr 0.500 0.000 0.747
5 O 0.000 0.000 0.789
6 O 0.000 0.000 0.308
7 Er 0.500 0.000 0.943
8 O 0.500 0.500 0.703
9 O 0.500 0.500 0.398
10 O 0.000 0.000 0.692
11 O 0.500 0.500 0.097
12 O 0.000 0.000 0.112
13 O 0.000 0.000 0.000
14 O 0.000 0.000 0.595
15 O 0.500 0.500 0.196
16 O 0.000 0.000 0.888
17 Zr 0.000 0.500 0.451
18 O 0.000 0.000 0.500
19 O 0.500 0.500 0.297
20 Zr 0.000 0.500 0.846
21 O 0.500 0.500 0.500
22 Zr 0.500 0.000 0.549
23 O 0.500 0.500 0.903
24 Zr 0.500 0.000 0.154
25 Zr 0.500 0.000 0.352
26 O 0.000 0.000 0.211
27 O 0.500 0.500 0.804
28 Er 0.000 0.500 0.057
29 Zr 0.000 0.500 0.648



A plane-wave DFT calculation with SCAN was carried out for a PBEsol-optimized structure of LaCeMg2.

Summary:
Density of states at the Fermi level = 6.133 states/eV/cell
E = -24.4278 eV per atom
DFT formation energy = -0.024 eV/atom
Space group = Fm-3m (225)
Magnetic moment = 1.1 μB/f.u.
Calculated volume = 113.7 Å³/f.u.

abc: 5.438 5.438 5.438
angles: 60.00 60.00 60.00
Each line ends with the local moment (μB).
Fractional coordinates of all 4 atoms:
1 Ce 0.500 0.500 0.500  0.92
2 Mg 0.250 0.250 0.250  0.00
3 Mg 0.750 0.750 0.750  0.00
4 La 0.000 0.000 0.000  -0.01



A plane-wave DFT calculation with SCAN was carried out for a PBEsol-optimized structure of Li5Ni2O2F5.

Summary:
Density of states at the Fermi level = 0.009 states/eV/cell
E = -7.9006 eV per atom
Space group = I4/mmm (139)
Energy relative to the elements, uncorrected = -36.15 eV/f.u.
Magnetic moment = 4.0 μB/f.u.
Calculated volume = 116.6 Å³/f.u.

abc: 2.842 2.842 14.579
angles: 95.59 95.59 90.00
Each line ends with the local moment (μB).
Fractional coordinates of all 14 atoms:
1 F 0.500 0.500 0.000  0.00
2 F 0.363 0.363 0.725  0.03
3 F 0.637 0.637 0.275  0.03
4 Li 0.431 0.431 0.863  0.00
5 Ni 0.286 0.286 0.571  1.69
6 Li 0.000 0.000 0.000  0.00
7 O 0.787 0.787 0.573  0.24
8 F 0.931 0.931 0.862  0.00
9 Li 0.861 0.861 0.721  0.00
10 Ni 0.714 0.714 0.429  1.69
11 F 0.069 0.069 0.138  0.00
12 Li 0.569 0.569 0.137  0.00
13 Li 0.139 0.139 0.279  0.00
14 O 0.213 0.213 0.427  0.24



A plane-wave DFT calculation with SCAN was carried out for a PBEsol-optimized structure of Sc2ReRu.

Summary:
Density of states at the Fermi level = 4.230 states/eV/cell
E = -33.8342 eV per atom
DFT formation energy = -0.235 eV/atom
Space group = P4/mmm (123)
Magnetic moment = 0.0 μB/f.u.
Calculated volume = 64.9 Å³/f.u.

abc: 3.168 3.168 6.467
angles: 90.00 90.00 90.00
Fractional coordinates of all 4 atoms:
1 Re 0.500 0.500 0.000
2 Sc 0.000 0.000 0.257
3 Ru 0.500 0.500 0.500
4 Sc 0.000 0.000 0.743



A plane-wave DFT calculation with SCAN was carried out for a PBEsol-optimized structure of MnTcN2O.

Summary:
Density of states at the Fermi level = 2.938 states/eV/cell
E = -15.2720 eV per atom
Space group = P4/mmm (123)
Energy relative to the elements, uncorrected = 1.77 eV/f.u.
Magnetic moment = 5.5 μB/f.u.
Calculated volume = 47.0 Å³/f.u.

abc: 3.584 3.622 3.622
angles: 90.00 90.00 90.00
Each line ends with the local moment (μB).
Fractional coordinates of all 5 atoms:
1 N 0.000 0.500 0.000  -0.22
2 Mn 0.000 0.000 0.000  2.27
3 Tc 0.500 0.500 0.500  3.38
4 N 0.000 0.000 0.500  -0.22
5 O 0.500 0.000 0.000  0.25



A plane-wave DFT calculation with SCAN was carried out for a PBEsol-optimized structure of ZrTa2Ru.

Summary:
Density of states at the Fermi level = 3.189 states/eV/cell
E = -49.8900 eV per atom
DFT formation energy = -0.217 eV/atom
Space group = Imm2 (44)
Magnetic moment = 0.0 μB/f.u.
Calculated volume = 68.6 Å³/f.u.

abc: 3.199 4.627 5.422
angles: 115.26 107.16 90.00
Fractional coordinates of all 4 atoms:
1 Ru 0.255 0.755 0.510
2 Ta 0.746 0.246 0.493
3 Ta 0.990 0.990 0.980
4 Zr 0.509 0.509 0.018



A plane-wave DFT calculation with SCAN was carried out for a PBEsol-optimized structure of TlReBi2W.

Summary:
Density of states at the Fermi level = 2.816 states/eV/cell
E = -72.1423 eV per atom
DFT formation energy = 1.918 eV/atom
Space group = P4/mmm (123)
Magnetic moment = 4.6 μB/f.u.
Calculated volume = 147.8 Å³/f.u.

abc: 5.274 5.274 5.315
angles: 90.00 90.00 90.00
Each line ends with the local moment (μB).
Fractional coordinates of all 5 atoms:
1 Bi 0.000 0.500 0.000  -0.08
2 Bi 0.500 0.000 0.000  -0.08
3 W 0.000 0.000 0.000  0.33
4 Re 0.500 0.500 0.500  3.45
5 Tl 0.000 0.000 0.500  0.00



A plane-wave DFT calculation with SCAN was carried out for a PBEsol-optimized structure of BePRh2.

Summary:
Density of states at the Fermi level = 1.939 states/eV/cell
E = -21.1394 eV per atom
DFT formation energy = -0.566 eV/atom
Space group = Pmm2 (25)
Magnetic moment = 0.0 μB/f.u.
Calculated volume = 47.3 Å³/f.u.

abc: 2.936 3.049 5.288
angles: 90.00 90.00 90.00
Fractional coordinates of all 4 atoms:
1 Be 0.000 0.000 0.489
2 Rh 0.000 0.000 0.945
3 Rh 0.500 0.500 0.317
4 P 0.500 0.500 0.749



A plane-wave DFT calculation with SCAN was carried out for a PBEsol-optimized structure of YAl3.

Summary:
Density of states at the Fermi level = 3.025 states/eV/cell
E = -13.2382 eV per atom
DFT formation energy = -0.464 eV/atom
Space group = P6_3/mmc (194)
Magnetic moment = 0.1 μB/f.u.
Calculated volume = 76.5 Å³/f.u.

abc: 4.604 6.195 6.195
angles: 120.00 90.00 90.00
Fractional coordinates of all 8 atoms:
1 Al 0.250 0.852 0.148
2 Al 0.750 0.703 0.852
3 Al 0.750 0.148 0.297
4 Al 0.750 0.148 0.852
5 Y 0.750 0.667 0.333
6 Y 0.250 0.333 0.667
7 Al 0.250 0.297 0.148
8 Al 0.250 0.852 0.703



A plane-wave DFT calculation with SCAN was carried out for a PBEsol-optimized structure of AsPdSe2Br.

Summary:
Density of states at the Fermi level = 3.198 states/eV/cell
E = -21.9968 eV per atom
Space group = P4/mmm (123)
Energy relative to the elements, uncorrected = 2.60 eV/f.u.
Magnetic moment = 0.0 μB/f.u.
Calculated volume = 115.0 Å³/f.u.

abc: 4.862 4.862 4.864
angles: 90.00 90.00 90.00
Fractional coordinates of all 5 atoms:
1 Se 0.000 0.500 0.000
2 Br 0.000 0.000 0.500
3 Se 0.500 0.000 0.000
4 Pd 0.000 0.000 0.000
5 As 0.500 0.500 0.500



A plane-wave DFT calculation with SCAN was carried out for a PBEsol-optimized structure of Cr4SeBr.

Summary:
Density of states at the Fermi level = 6.799 states/eV/cell
E = -17.7720 eV per atom
Space group = F-43m (216)
Energy relative to the elements, uncorrected = 6.44 eV/f.u.
Magnetic moment = 0.0 μB/f.u.
Calculated volume = 81.7 Å³/f.u.

abc: 4.870 4.870 4.870
angles: 60.00 60.00 60.00
Fractional coordinates of all 6 atoms:
1 Cr 0.375 0.874 0.375
2 Cr 0.874 0.375 0.375
3 Cr 0.375 0.375 0.874
4 Br 0.000 0.000 0.000
5 Se 0.750 0.750 0.750
6 Cr 0.375 0.375 0.375



A plane-wave DFT calculation with SCAN was carried out for a PBEsol-optimized structure of Y2IrI.

Summary:
Density of states at the Fermi level = 4.018 states/eV/cell
E = -41.3380 eV per atom
Space group = Fm-3m (225)
Energy relative to the elements, uncorrected = -1.83 eV/f.u.
Magnetic moment = 0.9 μB/f.u.
Calculated volume = 92.3 Å³/f.u.

abc: 5.074 5.074 5.074
angles: 60.00 60.00 60.00
Each line ends with the local moment (μB).
Fractional coordinates of all 4 atoms:
1 Ir 0.500 0.500 0.500  -0.04
2 Y 0.750 0.750 0.750  0.28
3 Y 0.250 0.250 0.250  0.28
4 I 0.000 0.000 0.000  0.01



A plane-wave DFT calculation with SCAN was carried out for a PBEsol-optimized structure of Sr2FeW.

Summary:
Density of states at the Fermi level = 3.919 states/eV/cell
E = -31.6861 eV per atom
DFT formation energy = 1.406 eV/atom
Space group = Pmmm (47)
Magnetic moment = 2.6 μB/f.u.
Calculated volume = 88.2 Å³/f.u.

abc: 2.914 5.058 5.982
angles: 90.00 90.05 90.00
Each line ends with the local moment (μB).
Fractional coordinates of all 4 atoms:
1 Sr 0.000 0.000 0.252  -0.06
2 W 0.500 0.500 0.000  -0.09
3 Sr 0.000 0.000 0.748  -0.06
4 Fe 0.500 0.500 0.500  3.02



A plane-wave DFT calculation with SCAN was carried out for a PBEsol-optimized structure of IrOs2Pt.

Summary:
Density of states at the Fermi level = 3.830 states/eV/cell
E = -71.1793 eV per atom
DFT formation energy = 0.084 eV/atom
Space group = P4mm (99)
Magnetic moment = 0.0 μB/f.u.
Calculated volume = 57.0 Å³/f.u.

abc: 2.712 2.712 7.746
angles: 90.00 90.00 90.00
Fractional coordinates of all 4 atoms:
1 Os 0.500 0.500 0.241
2 Ir 0.500 0.500 0.760
3 Pt 0.000 0.000 0.497
4 Os 0.000 0.000 0.002



A plane-wave DFT calculation with SCAN was carried out for a PBEsol-optimized structure of VReO4.

Summary:
Density of states at the Fermi level = 3.931 states/eV/cell
E = -20.9847 eV per atom
Space group = Immm (71)
Energy relative to the elements, uncorrected = -12.40 eV/f.u.
Magnetic moment = 0.0 μB/f.u.
Calculated volume = 61.2 Å³/f.u.

abc: 5.467 5.467 5.467
angles: 76.64 74.61 120.23
Each line ends with the local moment (μB).
Fractional coordinates of all 12 atoms:
1 O 0.500 0.301 0.199  0.01
2 O 0.537 0.242 0.705  0.01
3 Re 0.774 0.774 0.000  -0.01
4 V 0.500 0.000 0.500  -1.22
5 O 0.000 0.773 0.227  -0.03
6 O 0.052 0.758 0.705  0.01
7 O 0.463 0.758 0.295  0.01
8 Re 0.226 0.226 0.000  -0.01
9 O 0.948 0.242 0.295  0.01
10 O 0.500 0.699 0.801  0.01
11 V 0.000 0.500 0.500  1.21
12 O 0.000 0.227 0.773  -0.03



A plane-wave DFT calculation with SCAN was carried out for a PBEsol-optimized structure of Zn2CuAs.

Summary:
Density of states at the Fermi level = 1.200 states/eV/cell
E = -15.5022 eV per atom
DFT formation energy = 0.103 eV/atom
Space group = Cm (8)
Magnetic moment = 0.0 μB/f.u.
Calculated volume = 59.7 Å³/f.u.

abc: 2.970 4.281 5.102
angles: 100.56 90.00 110.30
Fractional coordinates of all 4 atoms:
1 Cu 0.251 0.502 0.777
2 As 0.507 0.015 0.521
3 Zn 0.995 0.990 0.985
4 Zn 0.747 0.494 0.217



A plane-wave DFT calculation with SCAN was carried out for a PBEsol-optimized structure of Li3HPd.

Summary:
Density of states at the Fermi level = 0.215 states/eV/cell
E = -9.0124 eV per atom
Space group = Pm-3m (221)
Magnetic moment = 0.0 μB/f.u.
Calculated volume = 56.6 Å³/f.u.

abc: 3.839 3.839 3.839
angles: 90.00 90.00 90.00
Fractional coordinates of all 5 atoms:
1 H 0.000 0.000 0.000
2 Li 0.000 0.000 0.500
3 Li 0.000 0.500 0.000
4 Pd 0.500 0.500 0.500
5 Li 0.500 0.000 0.000



A plane-wave DFT calculation with SCAN was carried out for a PBEsol-optimized structure of BaCoTe.

Summary:
Density of states at the Fermi level = 0.958 states/eV/cell
E = -31.5679 eV per atom
Space group = I4mm (107)
Energy relative to the elements, uncorrected = -0.60 eV/f.u.
Magnetic moment = 1.0 μB/f.u.
Calculated volume = 75.8 Å³/f.u.

abc: 3.611 3.611 6.353
angles: 106.51 106.51 90.00
Each line ends with the local moment (μB).
Fractional coordinates of all 3 atoms:
1 Ba 0.001 0.001 0.002  -0.13
2 Te 0.282 0.282 0.564  -0.08
3 Co 0.717 0.717 0.434  1.59



A plane-wave DFT calculation with SCAN was carried out for a PBEsol-optimized structure of Tl2PbBr.

Summary:
Density of states at the Fermi level = 1.506 states/eV/cell
E = -60.2432 eV per atom
Space group = P2/m (10)
Energy relative to the elements, uncorrected = -1.02 eV/f.u.
Magnetic moment = 0.0 μB/f.u.
Calculated volume = 116.4 Å³/f.u.

abc: 3.570 5.141 6.339
angles: 90.00 90.19 90.00
Fractional coordinates of all 4 atoms:
1 Tl 0.995 0.000 0.247
2 Br 0.500 0.500 0.000
3 Tl 0.005 0.000 0.753
4 Pb 0.500 0.500 0.500



A plane-wave DFT calculation with SCAN was carried out for a PBEsol-optimized structure of K3PbO.

Summary:
Density of states at the Fermi level = 2.501 states/eV/cell
E = -21.9696 eV per atom
Space group = Pm-3m (221)
Energy relative to the elements, uncorrected = -2.85 eV/f.u.
Magnetic moment = 3.0 μB/f.u.
Calculated volume = 157.9 Å³/f.u.

abc: 5.405 5.405 5.405
angles: 90.00 90.00 90.00
Each line ends with the local moment (μB).
Fractional coordinates of all 5 atoms:
1 K 0.000 0.000 0.500  0.03
2 Pb 0.500 0.500 0.500  0.76
3 O 0.000 0.000 0.000  0.25
4 K 0.000 0.500 0.000  0.03
5 K 0.500 0.000 0.000  0.03